Run a
First-principles (GGA+U) data for an optimized crystal structure of NaMnBO3, as listed in Alexandria via LeMat-Bulk.

Properties
Calculated density in kg/m³: 3227

Cell: 2.9075 5.4125 9.2844 Å, 90.00 90.00 105.58°
Closest atoms and distances in Å follow each position.
Positions (direct):
Na 0.7451 0.4902 0.7500  6 O 2.43-2.46
Na 0.2549 0.5098 0.2500  6 O 2.43-2.46
Mn 0.0000 0.0000 0.5000  4 O 2.12
Mn 0.0000 0.0000 0.0000  4 O 2.12
B 0.4662 0.9325 0.7500  2 O 1.41
B 0.5338 0.0675 0.2500  2 O 1.41
O 0.6035 0.2069 0.3805  1 B 1.41
O 0.3965 0.7931 0.6195  1 B 1.41
O 0.3965 0.7931 0.8805  1 B 1.41
O 0.6035 0.2069 0.1195  1 B 1.41
O 0.0589 0.1177 0.7500  2 B 1.75
O 0.9411 0.8823 0.2500  2 B 1.75

***

Run b
First-principles (GGA+U) data for an optimized crystal structure of NaMnBO3, as listed in Alexandria via LeMat-Bulk.

Properties
Calculated density in kg/m³: 3344

Cell: 5.1508 5.2142 5.9035 Å, 85.10 80.04 60.40°
Closest atoms and distances in Å follow each position.
Positions (direct):
Na 0.6645 0.6710 0.7500  8 O 2.58-2.78
Na 0.3355 0.3290 0.2500  8 O 2.58-2.78
Mn 0.0000 0.0000 0.0000  6 O 2.19-2.25
Mn 0.0000 0.0000 0.5000  6 O 2.19-2.25
B 0.3312 0.3377 0.7500  3 O 1.39
B 0.6688 0.6623 0.2500  3 O 1.39
O 0.1779 0.6443 0.7500  1 B 1.39
O 0.8221 0.3557 0.2500  1 B 1.39
O 0.6246 0.1859 0.7993  1 B 1.39
O 0.1895 0.1859 0.7007  1 B 1.39
O 0.8105 0.8141 0.2993  1 B 1.39
O 0.3754 0.8141 0.2007  1 B 1.39

***

Result of the stability comparison: run a is the least stable of them.